No. 1
11
Lattice="9.7746 -2.5137 0.0000 9.7746 2.5137 0.0000 -1.8249 0.0000 6.4932" Properties=species:S:1:pos:R:3 comment="PBE Tb8IrPb2, relaxed" dos_at_fermi_per_ev_atom=0.83 space_group="C2/m, No. 12" delta_e_f_ev_per_atom=-0.375 pbc="T T T"
Tb -0.1539 0.0000 1.8633
Tb 2.7425 0.0000 5.3652
Tb 6.0541 0.0000 3.2258
Tb 7.9667 0.0000 0.2903
Tb 9.7577 0.0000 6.2029
Tb 11.6703 0.0000 3.2674
Tb 14.9819 0.0000 1.1280
Tb 17.8782 0.0000 4.6300
Ir 8.8622 0.0000 3.2466
Pb 3.0681 0.0000 1.6898
Pb 14.6563 0.0000 4.8035

=====

No. 2
4
Lattice="0.0000 3.6463 3.6463 3.6463 0.0000 3.6463 3.6463 3.6463 0.0000" Properties=species:S:1:pos:R:3 comment="PBE Tb2IrPb, relaxed" de_polymorph_mev_per_atom=200 dos_at_fermi_per_ev_atom=0.90 space_group="Fm-3m, No. 225" delta_e_f_ev_per_atom=-0.470 pbc="T T T"
Tb 1.8231 1.8231 1.8231
Tb 5.4694 5.4694 5.4694
Ir 0.0000 0.0000 0.0000
Pb 3.6463 3.6463 3.6463